# 1
PBE Nb2V5CrGa2, optimized geometry; crystal system = tetragonal; symmetry = P4/mbm; magnetic moment = 0.0 μB per formula unit; DFT formation energy = 44 meV/atom; D(E_F) = 9.0 states/eV/f.u.
1.0
9.417 0.000 0.000
0.000 9.417 0.000
0.000 0.000 3.382
Nb V Cr Ga
4 10 2 4
Cartesian
1.548 3.161 0.000
3.161 7.869 0.000
6.256 1.548 0.000
7.869 6.256 0.000
0.000 4.708 1.691
0.627 7.694 1.691
1.722 0.627 1.691
2.986 5.336 1.691
4.081 2.986 1.691
4.708 0.000 1.691
5.336 6.431 1.691
6.431 4.081 1.691
7.694 8.789 1.691
8.789 1.722 1.691
0.000 0.000 0.000
4.708 4.708 0.000
1.262 5.971 0.000
3.446 1.262 0.000
5.971 8.154 0.000
8.154 3.446 0.000

# 2
PBE Tb5ErRh6, optimized geometry; crystal system = monoclinic; symmetry = P2/m; magnetic moment = 0.0 μB per formula unit; DFT formation energy = -859 meV/atom; D(E_F) = 7.2 states/eV/f.u.
1.0
4.851 0.000 0.000
0.000 6.875 0.000
-2.418 0.000 7.283
Tb Er Rh
5 1 6
Cartesian
0.000 0.000 0.000
0.005 0.000 4.857
0.005 3.438 4.862
2.428 3.438 2.421
2.428 0.000 2.426
0.000 3.438 0.000
0.003 1.725 2.415
0.003 5.150 2.415
2.426 1.735 0.000
2.426 5.140 0.000
2.430 1.725 4.868
2.430 5.150 4.868

# 3
PBE PrMg10Hg2, optimized geometry; crystal system = orthorhombic; symmetry = Fmmm; magnetic moment = 0.0 μB per formula unit; DFT formation energy = -128 meV/atom; D(E_F) = 4.8 states/eV/f.u.
1.0
0.000 7.100 7.132
3.025 0.000 7.132
3.025 7.100 0.000
Pr Mg Hg
1 10 2
Cartesian
0.000 0.000 0.000
1.512 0.000 3.566
3.025 2.521 4.678
3.025 5.550 5.631
3.025 2.521 9.587
3.025 5.550 8.634
1.512 7.100 3.566
3.025 8.649 5.631
3.025 11.678 4.678
3.025 8.649 8.634
3.025 11.678 9.587
1.512 3.550 0.000
1.512 3.550 7.132